No. 1
This record from Alexandria via LeMat-Bulk describes a geometry-optimized MgSc3N structure. The functional is PBE.

Properties
- Space-group type: I-4m2
- ΔE_f (raw): 0.723 eV/atom
- Crystal system: tetragonal

Cell and atoms, written as POSCAR:
```
MgSc3N
1.0
-2.120 2.120 14.443
2.120 -2.120 14.443
2.120 2.120 -14.443
Mg Sc N
2 6 2
direct
0.000 0.000 0.000
0.750 0.250 0.500
0.331 0.331 0.000
0.350 0.106 0.244
0.669 0.669 0.000
0.862 0.106 0.756
0.894 0.138 0.244
0.894 0.650 0.756
0.134 0.634 0.500
0.366 0.866 0.500
```

***

No. 2
This record from Alexandria via LeMat-Bulk describes a geometry-optimized MgSc3N structure. The functional is PBE.

Properties
- Space-group type: C2/c
- ΔE_f (raw): -0.596 eV/atom
- Crystal system: monoclinic

Cell and atoms, written as POSCAR:
```
MgSc3N
1.0
5.443 -6.091 0.000
5.443 6.091 0.000
-1.710 0.000 5.905
Mg Sc N
4 12 4
direct
0.123 0.877 0.750
0.157 0.843 0.250
0.843 0.157 0.750
0.877 0.123 0.250
0.068 0.503 0.771
0.210 0.260 0.053
0.260 0.210 0.553
0.337 0.565 0.479
0.435 0.663 0.021
0.497 0.932 0.729
0.503 0.068 0.271
0.565 0.337 0.979
0.663 0.435 0.521
0.740 0.790 0.447
0.790 0.740 0.947
0.932 0.497 0.229
0.319 0.420 0.821
0.420 0.319 0.321
0.580 0.681 0.679
0.681 0.580 0.179
```

***

No. 3
This record from Alexandria via LeMat-Bulk describes a geometry-optimized MgScN3 structure. The functional is PBE.

Properties
- Space-group type: Pm-3m
- ΔE_f (raw): 0.687 eV/atom
- Crystal system: cubic

Cell and atoms, written as POSCAR:
```
MgScN3
1.0
4.070 0.000 0.000
0.000 4.070 0.000
0.000 0.000 4.070
Mg Sc N
1 1 3
direct
0.000 0.000 0.000
0.500 0.500 0.500
0.000 0.500 0.500
0.500 0.000 0.500
0.500 0.500 0.000
```

***

No. 4
This record from Alexandria via LeMat-Bulk describes a geometry-optimized Mg3Sc2N4 structure. The functional is PBE.

Properties
- Space-group type: C2/c
- ΔE_f (raw): -1.009 eV/atom
- Crystal system: monoclinic

Cell and atoms, written as POSCAR:
```
Mg3Sc2N4
1.0
4.405 -4.344 0.000
4.405 4.344 0.000
-0.065 0.000 5.675
Mg Sc N
6 4 8
direct
0.249 0.751 0.750
0.259 0.481 0.394
0.481 0.259 0.894
0.519 0.741 0.106
0.741 0.519 0.606
0.751 0.249 0.250
0.033 0.259 0.892
0.259 0.033 0.392
0.741 0.967 0.608
0.967 0.741 0.108
0.003 0.753 0.481
0.245 0.512 0.008
0.247 0.997 0.019
0.488 0.755 0.492
0.512 0.245 0.508
0.753 0.003 0.981
0.755 0.488 0.992
0.997 0.247 0.519
```